Here is crystalline Sm3Si2S8I at its relaxed geometry from the Alexandria database. Energies are from PBE.

The structure in CIF format:
```
data_Sm3Si2S8I
_chemical_formula_sum 'Sm6 Si4 S16 I2'
_cell_length_a 8.8300
_cell_length_b 8.8300
_cell_length_c 10.8233
_cell_angle_alpha 96.84
_cell_angle_beta 96.84
_cell_angle_gamma 52.42
_symmetry_space_group_name_H-M 'P 1'
_symmetry_Int_Tables_number 1
loop_
_symmetry_equiv_pos_as_xyz
'x,y,z'
loop_
_atom_site_label
_atom_site_type_symbol
_atom_site_fract_x
_atom_site_fract_y
_atom_site_fract_z
_atom_site_occupancy
Sm1 Sm 0.0987 0.9013 0.7500 1
Sm2 Sm 0.1752 0.4247 0.3169 1
Sm3 Sm 0.4247 0.1752 0.8169 1
Sm4 Sm 0.5753 0.8248 0.1831 1
Sm5 Sm 0.8248 0.5753 0.6831 1
Sm6 Sm 0.9013 0.0987 0.2500 1
Si1 Si 0.1223 0.1975 0.0298 1
Si2 Si 0.1975 0.1223 0.5298 1
Si3 Si 0.8025 0.8777 0.4702 1
Si4 Si 0.8777 0.8025 0.9702 1
S1 S 0.0509 0.2470 0.8368 1
S2 S 0.0875 0.7773 0.4543 1
S3 S 0.1025 0.6071 0.8508 1
S4 S 0.2135 0.3529 0.5854 1
S5 S 0.2227 0.9125 0.0457 1
S6 S 0.2470 0.0509 0.3368 1
S7 S 0.3529 0.2135 0.0854 1
S8 S 0.3929 0.8975 0.6492 1
S9 S 0.6071 0.1025 0.3508 1
S10 S 0.6471 0.7865 0.9146 1
S11 S 0.7530 0.9491 0.6632 1
S12 S 0.7773 0.0875 0.9543 1
S13 S 0.7865 0.6471 0.4146 1
S14 S 0.8975 0.3929 0.1492 1
S15 S 0.9125 0.2227 0.5457 1
S16 S 0.9491 0.7530 0.1632 1
I1 I 0.4882 0.5118 0.2500 1
I2 I 0.5118 0.4882 0.7500 1
```

Calculated values
volume	23.674	A^3/atom
uncorrected formation energy	-1428	meV/atom

Here is crystalline KRbPuF6 at its relaxed geometry from the Alexandria database. Energies are from PBE.

The structure in CIF format:
```
data_KRbPuF6
_chemical_formula_sum 'K2 Rb2 Pu2 F12'
_cell_length_a 6.7036
_cell_length_b 6.7036
_cell_length_c 10.2443
_cell_angle_alpha 90.00
_cell_angle_beta 90.00
_cell_angle_gamma 120.00
_symmetry_space_group_name_H-M 'P 1'
_symmetry_Int_Tables_number 1
loop_
_symmetry_equiv_pos_as_xyz
'x,y,z'
loop_
_atom_site_label
_atom_site_type_symbol
_atom_site_fract_x
_atom_site_fract_y
_atom_site_fract_z
_atom_site_occupancy
K1 K 0.3333 0.6667 0.2500 1
K2 K 0.6667 0.3333 0.7500 1
Rb1 Rb 0.0000 0.0000 0.0000 1
Rb2 Rb 0.0000 0.0000 0.5000 1
Pu1 Pu 0.3333 0.6667 0.7500 1
Pu2 Pu 0.6667 0.3333 0.2500 1
F1 F 0.0589 0.3968 0.6368 1
F2 F 0.0589 0.6622 0.8632 1
F3 F 0.3378 0.3968 0.8632 1
F4 F 0.3378 0.9411 0.6368 1
F5 F 0.3968 0.0589 0.1368 1
F6 F 0.3968 0.3378 0.3632 1
F7 F 0.6032 0.6622 0.6368 1
F8 F 0.6032 0.9411 0.8632 1
F9 F 0.6622 0.0589 0.3632 1
F10 F 0.6622 0.6032 0.1368 1
F11 F 0.9411 0.3378 0.1368 1
F12 F 0.9411 0.6032 0.3632 1
```

Calculated values
volume	22.149	A^3/atom
uncorrected formation energy	-3244	meV/atom